First-principles (PBE-GGA) data for crystalline Sm4CSeCl2 at its relaxed geometry, as listed in Alexandria via LeMat-Bulk.

## Properties
DOS(E_F) = 0.21 states/eV per atom
Energy relative to the elements, uncorrected = -1321 meV per atom

abc: 7.1111 3.8893 7.1588
angles: 90.00 108.36 90.00
Closest atoms and distances in Å follow each position.
Sites, in units of the cell vectors:
Sm (0.2014, 0.0000, 0.2012)  2 C 2.57
Sm (0.2132, 0.5000, 0.7867)  1 C 2.47
Sm (0.7868, 0.5000, 0.2133)  1 C 2.47
Sm (0.7986, 0.0000, 0.7988)  2 C 2.57
C (0.0000, 0.5000, 0.0000)  6 Sm 2.47-2.57
Se (0.0000, 0.0000, 0.5000)  6 Sm 2.89-2.93
Cl (0.5000, 0.0000, 0.0000)  6 Sm 2.88-2.92
Cl (0.5000, 0.5000, 0.5000)  6 Sm 3.16-3.32


First-principles (PBE-GGA) data for crystalline Ce3Ho2Tl4 at its relaxed geometry, as listed in Alexandria via LeMat-Bulk.

## Properties
DOS(E_F) = 2.28 states/eV per atom
Calculated formation energy = -2.0 eV per formula unit

abc: 5.3781 5.3781 10.2505
angles: 91.71 91.71 59.72
Closest atoms and distances in Å follow each position.
Sites, in units of the cell vectors:
Ce (0.0000, 0.0000, 0.0000)  8 Tl 3.28-3.48
Ce (0.3663, 0.3663, 0.4388)  1 Ce 2.75
Ce (0.6337, 0.6337, 0.5612)  1 Ce 2.75
Ho (0.3218, 0.3218, 0.7769)  7 Tl 3.28-3.42, 1 Ce 3.50
Ho (0.6782, 0.6782, 0.2231)  7 Tl 3.28-3.42, 1 Ce 3.50
Tl (0.0260, 0.0260, 0.3395)  6 Ce 3.25-3.63, 3 Ho 3.28-3.42, 1 Tl 3.34
Tl (0.3383, 0.3383, 0.1080)  4 Ce 3.28-3.39, 4 Ho 3.30-3.39
Tl (0.6617, 0.6617, 0.8920)  4 Ce 3.28-3.39, 4 Ho 3.30-3.39
Tl (0.9740, 0.9740, 0.6605)  6 Ce 3.25-3.63, 3 Ho 3.28-3.42, 1 Tl 3.34


First-principles (PBE-GGA) data for crystalline RbDy2Cl8 at its relaxed geometry, as listed in Alexandria via LeMat-Bulk.

## Properties
DOS(E_F) = 0.47 states/eV per atom
Energy relative to the elements, uncorrected = -1944 meV per atom

abc: 6.9826 6.9826 8.3521
angles: 99.93 99.93 73.82
Closest atoms and distances in Å follow each position.
Sites, in units of the cell vectors:
Rb (0.0000, 0.0000, 0.0000)  6 Cl 3.34-3.40
Dy (0.3224, 0.3224, 0.5384)  7 Cl 2.62-2.76
Dy (0.6776, 0.6776, 0.4616)  7 Cl 2.62-2.76
Cl (0.0445, 0.6639, 0.6525)  2 Dy 2.76
Cl (0.2296, 0.2296, 0.8011)  1 Dy 2.62
Cl (0.3361, 0.9555, 0.3475)  2 Dy 2.76
Cl (0.4401, 0.4401, 0.2939)  2 Dy 2.66-2.72
Cl (0.5599, 0.5599, 0.7061)  2 Dy 2.66-2.72
Cl (0.6639, 0.0445, 0.6525)  2 Dy 2.76
Cl (0.7704, 0.7704, 0.1989)  1 Dy 2.62
Cl (0.9555, 0.3361, 0.3475)  2 Dy 2.76


First-principles (PBE-GGA) data for crystalline LaSiI3 at its relaxed geometry, as listed in Alexandria via LeMat-Bulk.

## Properties
DOS(E_F) = 1.87 states/eV per atom
Energy relative to the elements, uncorrected = -94 meV per atom
Relative energy among the computed polymorphs = 180.7 meV/atom

abc: 5.6033 5.6033 5.6033
angles: 90.00 90.00 90.00
Closest atoms and distances in Å follow each position.
Sites, in units of the cell vectors:
La (0.0000, 0.0000, 0.0000)  12 I 3.96
Si (0.5000, 0.5000, 0.5000)  6 I 2.80
I (0.0000, 0.5000, 0.5000)  2 Si 2.80
I (0.5000, 0.0000, 0.5000)  2 Si 2.80
I (0.5000, 0.5000, 0.0000)  2 Si 2.80